(1)
# Tm5AsS4 PBE relaxed
data_Tm5AsS4
_cell_length_a 3.906
_cell_length_b 5.488
_cell_length_c 19.392
_cell_angle_alpha 90.00
_cell_angle_beta 90.00
_cell_angle_gamma 90.00
_symmetry_space_group_name_H-M 'I m m m'
_symmetry_Int_Tables_number 71
_symmetry_space_group_name_Hall '-I 2 2'
loop_
_atom_site_label
_atom_site_type_symbol
_atom_site_fract_x
_atom_site_fract_y
_atom_site_fract_z
Tm1 Tm 0.000 0.000 0.000
Tm2 Tm 0.000 0.000 0.200
Tm3 Tm 0.000 0.000 0.397
As1 As 0.000 0.500 0.000
S1 S 0.000 0.500 0.202
S2 S 0.000 0.500 0.399
# total magnetic moment: 0.0 μB/f.u.
# formation energy (no corrections): -1790 kJ/mol of formula units

=====

(2)
# SnN2 PBE relaxed
data_SnN2
_cell_length_a 3.225
_cell_length_b 3.225
_cell_length_c 9.930
_cell_angle_alpha 96.67
_cell_angle_beta 90.33
_cell_angle_gamma 119.99
_symmetry_space_group_name_H-M 'P 1'
_symmetry_Int_Tables_number 1
_symmetry_space_group_name_Hall 'P 1'
loop_
_atom_site_label
_atom_site_type_symbol
_atom_site_fract_x
_atom_site_fract_y
_atom_site_fract_z
Sn1 Sn 0.000 0.000 0.000
N1 N 0.010 0.014 0.557
N2 N 0.989 0.977 0.444
# total magnetic moment: 0.0 μB/f.u.
# formation energy (no corrections): 66 kJ/mol of formula units

=====

Question: Among the records above, which one has the highest formation energy (no corrections)?
Answer: SnN2